Material: CsFe2Se3
Method: DFT, GGA-PBE
State: optimized geometry

Unit cell a=7.969 b=7.969 c=5.475 alpha=90.00 beta=90.00 gamma=102.42
Sites, in units of the cell vectors:
Cs 0.164 0.836 0.750
Cs 0.836 0.164 0.250
Fe 0.373 0.373 0.000
Fe 0.373 0.373 0.500
Fe 0.627 0.627 0.000
Fe 0.627 0.627 0.500
Se 0.130 0.346 0.750
Se 0.346 0.130 0.250
Se 0.374 0.626 0.250
Se 0.626 0.374 0.750
Se 0.654 0.870 0.750
Se 0.870 0.654 0.250

Summary:
- Crystal system: orthorhombic
- Raw total energy: -5.24 eV per atom
- Space-group type: Cmcm (63)
- D(E_F): 7.27 states/eV/cell
- V: 169.8 Å³/f.u.
- Magnetization: 11.5 Bohr magnetons per cell

Material: Dy5Si2Ge
Method: DFT, GGA-PBE
State: optimized geometry

Unit cell a=8.644 b=8.644 c=8.644 alpha=128.13 beta=128.13 gamma=76.42
Sites, in units of the cell vectors:
Dy 0.000 0.000 0.000
Dy 0.026 0.526 0.840
Dy 0.186 0.026 0.500
Dy 0.314 0.814 0.840
Dy 0.474 0.314 0.500
Dy 0.500 0.500 0.000
Dy 0.526 0.686 0.500
Dy 0.686 0.186 0.160
Dy 0.814 0.974 0.500
Dy 0.974 0.474 0.160
Si 0.125 0.375 0.500
Si 0.375 0.875 0.249
Si 0.625 0.125 0.751
Si 0.875 0.625 0.500
Ge 0.250 0.250 0.000
Ge 0.750 0.750 0.000

Summary:
- Crystal system: tetragonal
- Raw total energy: -5.49 eV per atom
- Space-group type: I4/mcm (140)
- D(E_F): 16.39 states/eV/cell
- V: 194.1 Å³/f.u.
- Magnetization: 0.0 Bohr magnetons per cell

Material: SiBRh3
Method: DFT, GGA-PBE
State: optimized geometry

Unit cell a=5.814 b=3.763 c=6.078 alpha=90.00 beta=112.03 gamma=90.00
Sites, in units of the cell vectors:
Si 0.179 0.250 0.323
Si 0.821 0.750 0.677
B 0.450 0.750 0.918
B 0.550 0.250 0.082
Rh 0.154 0.250 0.921
Rh 0.186 0.750 0.578
Rh 0.445 0.750 0.264
Rh 0.555 0.250 0.736
Rh 0.814 0.250 0.422
Rh 0.846 0.750 0.079

Summary:
- Crystal system: monoclinic
- Space-group type: P2_1/m (11)
- E above lowest polymorph: 0.00 eV per formula unit
- D(E_F): 5.86 states/eV/cell
- V: 61.6 Å³/f.u.
- Magnetization: 0.0 Bohr magnetons per cell